A plane-wave DFT calculation with GGA-PBE was carried out for crystalline PCCl2 at its relaxed geometry.

a = 6.3970 Å, b = 6.3970 Å, c = 8.8765 Å
α = 90.00°, β = 90.00°, γ = 90.00°
Space group I4_1/amd (No. 141, origin choice 2)
Inequivalent atoms, fractional coordinates:
1 P 0.0000 0.2500 0.3750 (multiplicity 4)
2 C 0.0000 0.2500 0.8750 (multiplicity 4)
3 Cl 0.0000 0.0000 0.0000 (multiplicity 8)

Summary:
Its density of states at the Fermi level is 5.19 states/eV/cell. The calculation puts the uncorrected formation energy at 171.2 kJ per mole of atoms. As for the total energy: -44.91 eV per cell.

A plane-wave DFT calculation with GGA-PBE was carried out for crystalline P3CCl at its relaxed geometry.

a = 4.2071 Å, b = 4.2071 Å, c = 4.2071 Å
α = 90.00°, β = 90.00°, γ = 90.00°
Space group Pm-3m (No. 221)
Inequivalent atoms, fractional coordinates:
1 P 0.0000 0.0000 0.5000 (multiplicity 3)
2 C 0.0000 0.0000 0.0000 (multiplicity 1)
3 Cl 0.5000 0.5000 0.5000 (multiplicity 1)

Summary:
Its density of states at the Fermi level is 3.94 states/eV/cell. The calculation puts the uncorrected formation energy at 137.4 kJ per mole of atoms. As for the total energy: -20.18 eV per cell.

A plane-wave DFT calculation with GGA-PBE was carried out for crystalline P3CCl at its relaxed geometry.

a = 4.5439 Å, b = 4.5439 Å, c = 4.5439 Å
α = 90.00°, β = 90.00°, γ = 90.00°
Space group Pm-3m (No. 221)
Inequivalent atoms, fractional coordinates:
1 P 0.0000 0.0000 0.5000 (multiplicity 3)
2 C 0.5000 0.5000 0.5000 (multiplicity 1)
3 Cl 0.0000 0.0000 0.0000 (multiplicity 1)

Summary:
Its density of states at the Fermi level is 3.19 states/eV/cell. The calculation puts the uncorrected formation energy at 259.9 kJ per mole of atoms. As for the total energy: -13.83 eV per cell.

A plane-wave DFT calculation with GGA-PBE was carried out for crystalline P2CCl at its relaxed geometry.

a = 6.0508 Å, b = 6.0508 Å, c = 6.8569 Å
α = 90.00°, β = 90.00°, γ = 90.00°
Space group I-42d (No. 122)
Inequivalent atoms, fractional coordinates:
1 P 0.1415 0.2500 0.1250 (multiplicity 8)
2 C 0.0000 0.0000 0.0000 (multiplicity 4)
3 Cl 0.0000 0.0000 0.5000 (multiplicity 4)

Summary:
Its density of states at the Fermi level is 13.46 states/eV/cell. The calculation puts the uncorrected formation energy at 87.5 kJ per mole of atoms. As for the total energy: -73.06 eV per cell.

A plane-wave DFT calculation with GGA-PBE was carried out for crystalline PCCl2 at its relaxed geometry.

a = 6.3220 Å, b = 6.3220 Å, c = 6.3220 Å
α = 90.00°, β = 90.00°, γ = 90.00°
Space group Fm-3m (No. 225)
Inequivalent atoms, fractional coordinates:
1 P 0.0000 0.0000 0.0000 (multiplicity 4)
2 C 0.0000 0.0000 0.5000 (multiplicity 4)
3 Cl 0.2500 0.2500 0.2500 (multiplicity 8)

Summary:
Its density of states at the Fermi level is 12.01 states/eV/cell. The calculation puts the uncorrected formation energy at 197.6 kJ per mole of atoms. As for the total energy: -40.54 eV per cell.

A plane-wave DFT calculation with GGA-PBE was carried out for crystalline PCCl2 at its relaxed geometry.

a = 2.9709 Å, b = 2.9709 Å, c = 27.4392 Å
α = 90.00°, β = 90.00°, γ = 120.00°
Space group R-3m (No. 166, hexagonal axes)
Inequivalent atoms, fractional coordinates:
1 P 0.0000 0.0000 0.0000 (multiplicity 3)
2 C 0.0000 0.0000 0.5000 (multiplicity 3)
3 Cl 0.0000 0.0000 0.4419 (multiplicity 6)

Summary:
Its density of states at the Fermi level is 6.23 states/eV/cell. The calculation puts the uncorrected formation energy at 140.2 kJ per mole of atoms. As for the total energy: -37.54 eV per cell.

A plane-wave DFT calculation with GGA-PBE was carried out for crystalline PPdCCl2 at its relaxed geometry.

a = 5.0087 Å, b = 5.0087 Å, c = 3.5161 Å
α = 90.00°, β = 90.00°, γ = 90.00°
Space group P4/mmm (No. 123)
Inequivalent atoms, fractional coordinates:
1 P 0.0000 0.0000 0.0000 (multiplicity 1)
2 Pd 0.5000 0.5000 0.0000 (multiplicity 1)
3 C 0.0000 0.0000 0.5000 (multiplicity 1)
4 Cl 0.0000 0.5000 0.5000 (multiplicity 2)

Summary:
Its density of states at the Fermi level is 5.88 states/eV/cell. The calculation puts the uncorrected formation energy at 115.8 kJ per mole of atoms. As for the total energy: -17.52 eV per cell.

A plane-wave DFT calculation with GGA-PBE was carried out for crystalline P2PdCCl at its relaxed geometry.

a = 4.6385 Å, b = 4.6385 Å, c = 4.9206 Å
α = 90.00°, β = 90.00°, γ = 90.00°
Space group P4/mmm (No. 123)
Inequivalent atoms, fractional coordinates:
1 P 0.0000 0.5000 0.0000 (multiplicity 2)
2 Pd 0.0000 0.0000 0.0000 (multiplicity 1)
3 C 0.5000 0.5000 0.5000 (multiplicity 1)
4 Cl 0.0000 0.0000 0.5000 (multiplicity 1)

Summary:
Its density of states at the Fermi level is 5.26 states/eV/cell. The calculation puts the uncorrected formation energy at 182.2 kJ per mole of atoms. As for the total energy: -17.64 eV per cell.